(1)
Computed, not measured: crystalline Ir2Rh2C at its relaxed geometry at the PBE level of DFT.

Summary:
Space-group type: No. 127

```
Ir2Rh2C
1.0
-3.581 -3.837 -1.300
0.366 -2.034 4.997
-3.532 2.820 1.406
C Ir Rh
2 4 4
Cartesian
0.000 0.000 0.000 C
-1.608 -2.936 1.849 C
-0.877 -2.952 3.717 Ir
-2.726 -4.547 2.271 Ir
-2.339 -2.919 -0.020 Ir
-0.490 -1.324 1.426 Ir
-2.138 -0.621 3.840 Rh
-3.872 -2.854 3.963 Rh
-4.609 -2.430 1.263 Rh
-2.875 -0.197 1.141 Rh
```

(2)
Computed, not measured: crystalline IrRhC2 at its relaxed geometry at the PBE level of DFT.

Summary:
Space-group type: No. 122

```
IrRhC2
1.0
4.615 0.000 0.000
0.000 4.615 0.000
2.307 2.307 4.632
C Ir Rh
4 2 2
Cartesian
3.493 1.154 1.158 C
1.122 3.461 1.158 C
3.461 3.429 3.474 C
5.768 5.800 3.474 C
0.000 0.000 0.000 Ir
4.615 2.307 2.316 Ir
2.307 2.307 0.000 Rh
2.307 4.615 2.316 Rh
```

(3)
Computed, not measured: crystalline IrRh3C at its relaxed geometry at the PBE level of DFT.

Summary:
Space-group type: No. 221

```
IrRh3C
1.0
-2.050 -0.868 3.383
0.411 -3.955 -0.765
3.468 -0.044 2.090
C Ir Rh
1 1 3
Cartesian
0.000 0.000 0.000 C
0.915 -2.433 2.354 Ir
0.206 -1.978 -0.383 Rh
1.734 -0.022 1.045 Rh
-1.025 -0.434 1.691 Rh
```

Short version: formation energy from the elements = 0.484 0.529 0.430 eV per atom, in the order given.